## KPmFeO3 (PBE+U)

Data for crystalline KPmFeO3 at its relaxed geometry.

Calculated values
Electronic total energy   -77.9 eV/cell

```
KPmFeO3
1.0
-3.195 -1.743 -0.220
2.700 -5.531 4.625
-3.347 5.462 5.313
O K Pm Fe
6 2 2 2
Cartesian
-0.112 -2.485 6.213
-2.228 1.278 7.115
-3.730 0.672 3.504
-3.254 3.412 5.104
-0.587 -5.225 4.613
-1.614 -3.091 2.602
-2.892 -1.422 7.937
-0.950 -0.390 1.780
0.442 -3.193 3.767
-4.284 1.380 5.950
-2.585 2.377 3.590
-1.257 -4.190 6.127
```